# 1
First-principles (PBE-GGA) data for a geometry-optimized KLiCrTe3 structure, as listed in the Alexandria database.

Calculated volume   346.6 Å³ per cell
Formation energy (no corrections)   -0.5978 eV/atom

a = 8.773 Å, b = 4.050 Å, c = 10.679 Å
α = 90.00°, β = 114.01°, γ = 90.00°
Space group P2_1/m (No. 11)
Inequivalent atoms, fractional coordinates:
K: 0.033 0.250 0.290 [2 per cell]
Li: 0.470 0.750 0.392 [2 per cell]
Cr: 0.476 0.250 0.157 [2 per cell]
Te: 0.253 0.750 0.129 [2 per cell]
Te: 0.308 0.750 0.573 [2 per cell]
Te: 0.330 0.250 0.876 [2 per cell]

# 2
First-principles (PBE-GGA) data for a geometry-optimized Ac2Pm2Pr3 structure, as listed in the Alexandria database.

E above lowest polymorph   39 meV/atom
Energy relative to the elements   12.77 kJ/mol of atoms
Calculated volume   266.7 Å³ per cell

a = 5.947 Å, b = 3.637 Å, c = 12.682 Å
α = 90.00°, β = 103.47°, γ = 90.00°
Space group P2/m (No. 10)
Inequivalent atoms, fractional coordinates:
Ac: 0.078 0.000 0.156 [2 per cell]
Pm: 0.354 0.500 0.708 [2 per cell]
Pr: 0.220 0.000 0.441 [2 per cell]
Pr: 0.500 0.000 0.000 [1 per cell]

# 3
First-principles (PBE-GGA) data for a geometry-optimized La3PmSb2 structure, as listed in the Alexandria database.

E above lowest polymorph   188 meV/atom
Calculated volume   888.5 Å³ per cell
Formation energy (no corrections)   -0.6738 eV/atom

a = 7.359 Å, b = 14.968 Å, c = 8.067 Å
α = 90.00°, β = 90.00°, γ = 90.00°
Space group Ibam (No. 72)
Inequivalent atoms, fractional coordinates:
La: 0.000 0.000 0.250 [4 per cell]
La: 0.000 0.293 0.250 [8 per cell]
Pm: 0.000 0.500 0.000 [4 per cell]
Sb: 0.177 0.145 0.000 [8 per cell]